This record from Alexandria via LeMat-Bulk describes a relaxed Sm3Er4 crystal. The functional is PBE.

Cell and atoms, written as POSCAR:
```
Sm3Er4
1.0
5.626 -2.515 0.000
5.626 2.515 0.000
-1.134 0.000 7.874
Sm Er
3 4
Direct
0.000 0.000 0.000
0.286 0.286 0.855
0.714 0.714 0.145
0.142 0.142 0.429
0.428 0.428 0.290
0.572 0.572 0.710
0.858 0.858 0.571
```

**Energy above the most stable polymorph in this dataset**: 2 meV per atom
**Energy relative to the elements**: 0.0223 eV/atom
**Uncorrected energy**: -32.25 eV/cell
**DOS at the Fermi energy**: 9.79 states/eV/f.u.



This record from Alexandria via LeMat-Bulk describes a relaxed Sm3Er7 crystal. The functional is PBE.

Cell and atoms, written as POSCAR:
```
Sm3Er7
1.0
9.028 -2.501 0.000
9.028 2.501 0.000
-1.403 0.000 6.955
Sm Er
3 7
Direct
0.000 0.000 0.000
0.199 0.199 0.600
0.801 0.801 0.400
0.000 0.000 0.500
0.200 0.200 0.100
0.400 0.400 0.199
0.401 0.401 0.700
0.599 0.599 0.300
0.600 0.600 0.801
0.800 0.800 0.900
```

**Energy above the most stable polymorph in this dataset**: 0 meV per atom
**Energy relative to the elements**: 0.0192 eV/atom
**Uncorrected energy**: -45.91 eV/cell
**DOS at the Fermi energy**: 12.95 states/eV/f.u.



This record from Alexandria via LeMat-Bulk describes a relaxed Sm3Er7 crystal. The functional is PBE.

Cell and atoms, written as POSCAR:
```
Sm3Er7
1.0
10.700 0.000 0.000
-5.350 9.267 0.000
0.000 0.000 6.438
Sm Er
6 14
Direct
0.203 0.407 0.000
0.203 0.797 0.000
0.407 0.203 0.500
0.593 0.797 0.000
0.797 0.203 0.500
0.797 0.593 0.500
0.058 0.529 0.342
0.121 0.242 0.518
0.121 0.879 0.518
0.242 0.121 0.018
0.333 0.667 0.653
0.471 0.529 0.342
0.471 0.942 0.342
0.529 0.058 0.842
0.529 0.471 0.842
0.667 0.333 0.153
0.758 0.879 0.518
0.879 0.121 0.018
0.879 0.758 0.018
0.942 0.471 0.842
```

**Energy above the most stable polymorph in this dataset**: 166 meV per atom
**Energy relative to the elements**: 0.1854 eV/atom
**Uncorrected energy**: -88.49 eV/cell
**DOS at the Fermi energy**: 16.67 states/eV/f.u.



This record from Alexandria via LeMat-Bulk describes a relaxed SmEr3 crystal. The functional is PBE.

Cell and atoms, written as POSCAR:
```
SmEr3
1.0
7.196 0.000 0.000
-3.598 6.232 0.000
0.000 0.000 5.642
Sm Er
2 6
Direct
0.333 0.667 0.250
0.667 0.333 0.750
0.166 0.332 0.750
0.166 0.834 0.750
0.332 0.166 0.250
0.668 0.834 0.750
0.834 0.166 0.250
0.834 0.668 0.250
```

**Energy above the most stable polymorph in this dataset**: 0 meV per atom
**Energy relative to the elements**: 0.0075 eV/atom
**Uncorrected energy**: -36.76 eV/cell
**DOS at the Fermi energy**: 7.54 states/eV/f.u.



This record from Alexandria via LeMat-Bulk describes a relaxed Sm5Er7 crystal. The functional is PBE.

Cell and atoms, written as POSCAR:
```
Sm5Er7
1.0
4.818 -2.834 0.000
4.818 2.834 0.000
-3.346 0.000 14.269
Sm Er
5 7
Direct
0.000 0.000 0.000
0.142 0.142 0.436
0.389 0.389 0.199
0.611 0.611 0.801
0.858 0.858 0.564
0.058 0.058 0.214
0.233 0.233 0.672
0.312 0.312 0.919
0.500 0.500 0.500
0.688 0.688 0.081
0.767 0.767 0.328
0.942 0.942 0.786
```

**Energy above the most stable polymorph in this dataset**: 184 meV per atom
**Energy relative to the elements**: 0.1882 eV/atom
**Uncorrected energy**: -53.28 eV/cell
**DOS at the Fermi energy**: 19.67 states/eV/f.u.



This record from Alexandria via LeMat-Bulk describes a relaxed Sm4Er5 crystal. The functional is PBE.

Cell and atoms, written as POSCAR:
```
Sm4Er5
1.0
-1.823 6.053 6.523
1.823 -6.053 6.523
1.823 6.053 -6.523
Sm Er
4 5
Direct
0.046 0.189 0.857
0.332 0.189 0.143
0.668 0.811 0.857
0.954 0.811 0.143
0.000 0.500 0.500
0.296 0.500 0.796
0.375 0.875 0.500
0.625 0.125 0.500
0.704 0.500 0.204
```

**Energy above the most stable polymorph in this dataset**: 14 meV per atom
**Energy relative to the elements**: 0.0337 eV/atom
**Uncorrected energy**: -41.39 eV/cell
**DOS at the Fermi energy**: 11.70 states/eV/f.u.



This record from Alexandria via LeMat-Bulk describes a relaxed Sm6Er5 crystal. The functional is PBE.

Cell and atoms, written as POSCAR:
```
Sm6Er5
1.0
5.083 -6.636 0.000
5.083 6.636 0.000
-2.683 0.000 5.390
Sm Er
6 5
Direct
0.047 0.325 0.612
0.184 0.184 0.095
0.325 0.047 0.612
0.675 0.953 0.388
0.816 0.816 0.905
0.953 0.675 0.388
0.233 0.767 0.000
0.370 0.630 0.500
0.500 0.500 0.000
0.630 0.370 0.500
0.767 0.233 0.000
```

**Energy relative to the elements**: 0.1263 eV/atom
**Uncorrected energy**: -49.74 eV/cell
**DOS at the Fermi energy**: 17.81 states/eV/f.u.



This record from Alexandria via LeMat-Bulk describes a relaxed Sm3Er5 crystal. The functional is PBE.

Cell and atoms, written as POSCAR:
```
Sm3Er5
1.0
3.618 0.000 0.000
0.000 5.658 0.000
0.000 0.000 12.551
Sm Er
3 5
Direct
0.000 0.000 0.000
0.000 0.500 0.173
0.500 0.000 0.256
0.000 0.000 0.507
0.000 0.500 0.669
0.500 0.000 0.751
0.500 0.500 0.425
0.500 0.500 0.915
```

**Energy relative to the elements**: 0.0156 eV/atom
**Uncorrected energy**: -36.85 eV/cell
**DOS at the Fermi energy**: 13.58 states/eV/f.u.



This record from Alexandria via LeMat-Bulk describes a relaxed Sm5Er2 crystal. The functional is PBE.

Cell and atoms, written as POSCAR:
```
Sm5Er2
1.0
8.169 -1.758 0.000
8.169 1.758 0.000
-7.665 0.000 8.328
Sm Er
5 2
Direct
0.000 0.000 0.000
0.161 0.161 0.666
0.368 0.368 0.639
0.632 0.632 0.361
0.839 0.839 0.334
0.363 0.363 0.089
0.637 0.637 0.911
```

**Energy above the most stable polymorph in this dataset**: 179 meV per atom
**Energy relative to the elements**: 0.2003 eV/atom
**Uncorrected energy**: -31.32 eV/cell
**DOS at the Fermi energy**: 11.08 states/eV/f.u.



This record from Alexandria via LeMat-Bulk describes a relaxed Sm5Er crystal. The functional is PBE.

Cell and atoms, written as POSCAR:
```
Sm5Er
1.0
2.550 -7.656 0.000
2.550 7.656 0.000
0.000 0.000 5.100
Sm Er
5 1
Direct
0.000 0.000 0.000
0.166 0.834 0.500
0.334 0.666 0.000
0.666 0.334 0.000
0.834 0.166 0.500
0.500 0.500 0.500
```

**Energy relative to the elements**: 0.0162 eV/atom
**Uncorrected energy**: -28.06 eV/cell
**DOS at the Fermi energy**: 8.44 states/eV/f.u.



This record from Alexandria via LeMat-Bulk describes a relaxed SmEr3 crystal. The functional is PBE.

Cell and atoms, written as POSCAR:
```
SmEr3
1.0
4.999 0.000 0.000
0.000 4.999 0.000
0.000 0.000 4.999
Sm Er
1 3
Direct
0.000 0.000 0.000
0.000 0.500 0.500
0.500 0.000 0.500
0.500 0.500 0.000
```

**Energy above the most stable polymorph in this dataset**: 16 meV per atom
**Energy relative to the elements**: 0.0235 eV/atom
**Uncorrected energy**: -18.31 eV/cell
**DOS at the Fermi energy**: 5.57 states/eV/f.u.



This record from Alexandria via LeMat-Bulk describes a relaxed SmEr4 crystal. The functional is PBE.

Cell and atoms, written as POSCAR:
```
SmEr4
1.0
-4.584 4.584 3.973
4.584 -4.584 3.973
4.584 4.584 -3.973
Sm Er
2 8
Direct
0.375 0.625 0.750
0.625 0.375 0.250
0.164 0.729 0.435
0.205 0.271 0.935
0.271 0.205 0.435
0.271 0.836 0.065
0.729 0.164 0.935
0.729 0.795 0.565
0.795 0.729 0.065
0.836 0.271 0.565
```

**Energy above the most stable polymorph in this dataset**: 423 meV per atom
**Energy relative to the elements**: 0.4456 eV/atom
**Uncorrected energy**: -41.49 eV/cell
**DOS at the Fermi energy**: 6.00 states/eV/f.u.



This record from Alexandria via LeMat-Bulk describes a relaxed Sm2Er crystal. The functional is PBE.

Cell and atoms, written as POSCAR:
```
Sm2Er
1.0
5.544 -2.954 0.000
5.544 2.954 0.000
-0.031 0.000 6.002
Sm Er
4 2
Direct
0.078 0.078 0.237
0.257 0.257 0.715
0.743 0.743 0.285
0.922 0.922 0.763
0.410 0.410 0.226
0.590 0.590 0.774
```

**Energy above the most stable polymorph in this dataset**: 96 meV per atom
**Energy relative to the elements**: 0.1167 eV/atom
**Uncorrected energy**: -27.30 eV/cell
**DOS at the Fermi energy**: 5.46 states/eV/f.u.



This record from Alexandria via LeMat-Bulk describes a relaxed Sm7Er5 crystal. The functional is PBE.

Cell and atoms, written as POSCAR:
```
Sm7Er5
1.0
9.312 -1.798 0.000
9.312 1.798 0.000
-6.199 0.000 11.593
Sm Er
7 5
Direct
0.000 0.000 0.000
0.139 0.139 0.751
0.167 0.167 0.503
0.472 0.472 0.750
0.528 0.528 0.250
0.833 0.833 0.497
0.861 0.861 0.249
0.194 0.194 0.248
0.332 0.332 0.999
0.500 0.500 0.500
0.668 0.668 0.001
0.806 0.806 0.752
```

**Energy above the most stable polymorph in this dataset**: 0 meV per atom
**Energy relative to the elements**: 0.0073 eV/atom
**Uncorrected energy**: -55.76 eV/cell
**DOS at the Fermi energy**: 16.03 states/eV/f.u.



This record from Alexandria via LeMat-Bulk describes a relaxed Sm7Er2 crystal. The functional is PBE.

Cell and atoms, written as POSCAR:
```
Sm7Er2
1.0
6.237 0.000 0.000
-3.119 5.401 0.000
0.000 0.000 8.810
Sm Er
7 2
Direct
0.000 0.000 0.000
0.000 0.334 0.669
0.000 0.666 0.331
0.334 0.000 0.669
0.334 0.334 0.331
0.666 0.000 0.331
0.666 0.666 0.669
0.333 0.667 0.000
0.667 0.333 0.000
```

**Energy relative to the elements**: 0.0168 eV/atom
**Uncorrected energy**: -42.01 eV/cell
**DOS at the Fermi energy**: 11.73 states/eV/f.u.



This record from Alexandria via LeMat-Bulk describes a relaxed SmEr3 crystal. The functional is PBE.

Cell and atoms, written as POSCAR:
```
SmEr3
1.0
3.614 0.000 0.000
0.000 5.614 0.000
0.000 0.000 6.256
Sm Er
1 3
Direct
0.000 0.000 0.000
0.000 0.500 0.664
0.500 0.000 0.498
0.500 0.500 0.166
```

**Energy above the most stable polymorph in this dataset**: 3 meV per atom
**Energy relative to the elements**: 0.0109 eV/atom
**Uncorrected energy**: -18.36 eV/cell
**DOS at the Fermi energy**: 6.56 states/eV/f.u.



This record from Alexandria via LeMat-Bulk describes a relaxed SmEr crystal. The functional is PBE.

Cell and atoms, written as POSCAR:
```
SmEr
1.0
5.687 0.000 0.000
0.000 3.644 0.000
0.000 0.000 6.287
Sm Er
2 2
Direct
0.250 0.000 0.168
0.750 0.000 0.832
0.250 0.500 0.665
0.750 0.500 0.335
```

**Energy above the most stable polymorph in this dataset**: 0 meV per atom
**Energy relative to the elements**: 0.0152 eV/atom
**Uncorrected energy**: -18.50 eV/cell
**DOS at the Fermi energy**: 3.32 states/eV/f.u.



This record from Alexandria via LeMat-Bulk describes a relaxed Sm5Er7 crystal. The functional is PBE.

Cell and atoms, written as POSCAR:
```
Sm5Er7
1.0
9.259 -1.787 0.000
9.259 1.787 0.000
-6.177 0.000 11.522
Sm Er
5 7
Direct
0.000 0.000 0.000
0.166 0.166 0.498
0.305 0.305 0.249
0.695 0.695 0.751
0.834 0.834 0.502
0.028 0.028 0.750
0.334 0.334 0.002
0.362 0.362 0.751
0.500 0.500 0.500
0.638 0.638 0.249
0.666 0.666 0.998
0.972 0.972 0.250
```

**Energy above the most stable polymorph in this dataset**: 0 meV per atom
**Energy relative to the elements**: 0.0046 eV/atom
**Uncorrected energy**: -55.48 eV/cell
**DOS at the Fermi energy**: 16.16 states/eV/f.u.



This record from Alexandria via LeMat-Bulk describes a relaxed Sm4Er crystal. The functional is PBE.

Cell and atoms, written as POSCAR:
```
Sm4Er
1.0
5.758 0.000 0.000
0.000 5.758 0.000
0.000 0.000 5.758
Sm Er
4 1
Direct
0.000 0.000 0.000
0.000 0.500 0.500
0.500 0.000 0.500
0.500 0.500 0.000
0.500 0.500 0.500
```

**Energy above the most stable polymorph in this dataset**: 651 meV per atom
**Energy relative to the elements**: 0.6647 eV/atom
**Uncorrected energy**: -20.12 eV/cell
**DOS at the Fermi energy**: 7.68 states/eV/f.u.



This record from Alexandria via LeMat-Bulk describes a relaxed Sm5Er crystal. The functional is PBE.

Cell and atoms, written as POSCAR:
```
Sm5Er
1.0
5.102 0.000 0.000
0.000 10.809 0.000
0.000 0.000 7.220
Sm Er
10 2
Direct
0.250 0.083 0.124
0.250 0.084 0.626
0.250 0.416 0.626
0.250 0.417 0.124
0.250 0.750 0.626
0.750 0.250 0.374
0.750 0.583 0.876
0.750 0.584 0.374
0.750 0.916 0.374
0.750 0.917 0.876
0.250 0.750 0.124
0.750 0.250 0.876
```

**Energy relative to the elements**: 0.0152 eV/atom
**Uncorrected energy**: -56.14 eV/cell
**DOS at the Fermi energy**: 7.74 states/eV/f.u.



This record from Alexandria via LeMat-Bulk describes a relaxed SmEr4 crystal. The functional is PBE.

Cell and atoms, written as POSCAR:
```
SmEr4
1.0
5.577 0.000 0.000
0.000 5.577 0.000
0.000 0.000 5.577
Sm Er
1 4
Direct
0.000 0.000 0.000
0.000 0.000 0.500
0.000 0.500 0.000
0.500 0.000 0.000
0.500 0.500 0.500
```

**Energy above the most stable polymorph in this dataset**: 698 meV per atom
**Energy relative to the elements**: 0.7207 eV/atom
**Uncorrected energy**: -19.37 eV/cell
**DOS at the Fermi energy**: 7.37 states/eV/f.u.



This record from Alexandria via LeMat-Bulk describes a relaxed Sm2Er crystal. The functional is PBE.

Cell and atoms, written as POSCAR:
```
Sm2Er
1.0
0.000 4.673 4.673
4.673 0.000 4.673
4.673 4.673 0.000
Sm Er
4 2
Direct
0.000 0.000 0.000
0.000 0.000 0.500
0.000 0.500 0.000
0.500 0.000 0.000
0.375 0.375 0.375
0.625 0.625 0.625
```

**Energy above the most stable polymorph in this dataset**: 241 meV per atom
**Energy relative to the elements**: 0.2622 eV/atom
**Uncorrected energy**: -26.43 eV/cell
**DOS at the Fermi energy**: 4.82 states/eV/f.u.



This record from Alexandria via LeMat-Bulk describes a relaxed Sm3Er8 crystal. The functional is PBE.

Cell and atoms, written as POSCAR:
```
Sm3Er8
1.0
5.114 2.952 4.050
-5.114 2.952 4.050
0.000 -5.905 4.050
Sm Er
3 8
Direct
0.000 0.500 0.500
0.500 0.000 0.500
0.500 0.500 0.000
0.081 0.889 0.694
0.111 0.306 0.919
0.306 0.919 0.111
0.349 0.349 0.349
0.651 0.651 0.651
0.694 0.081 0.889
0.889 0.694 0.081
0.919 0.111 0.306
```

**Energy relative to the elements**: 0.5850 eV/atom
**Uncorrected energy**: -44.23 eV/cell
**DOS at the Fermi energy**: 20.68 states/eV/f.u.



This record from Alexandria via LeMat-Bulk describes a relaxed Sm2Er3 crystal. The functional is PBE.

Cell and atoms, written as POSCAR:
```
Sm2Er3
1.0
5.616 -2.513 0.000
5.616 2.513 0.000
-5.601 0.000 5.623
Sm Er
2 3
Direct
0.201 0.201 0.301
0.799 0.799 0.699
0.000 0.000 0.500
0.399 0.399 0.099
0.601 0.601 0.901
```

**Energy relative to the elements**: 0.0210 eV/atom
**Uncorrected energy**: -23.02 eV/cell
**DOS at the Fermi energy**: 7.08 states/eV/f.u.